Entry 1:
A geometry-optimized Tb2PmDy4Sc structure. Source: Alexandria, functional GGA-PBE.

Values from the calculation:
DFT formation energy in eV/atom: 0.43
Crystal system: monoclinic
VASP energy in eV/cell: -141.2

Unit cell a=13.456 b=13.099 c=6.742 alpha=90.00 beta=120.07 gamma=90.00
Space group C2/c (No. 15)
Symmetry-distinct sites (fractional):
Tb: 0.000 0.000 0.000 x4
Tb: 0.250 0.250 0.000 x4
Pm: 0.250 0.250 0.500 x4
Dy: 0.001 0.261 0.000 x8
Dy: 0.238 0.499 0.989 x8
Sc: 0.000 0.500 0.000 x4



Entry 2:
A geometry-optimized AcPmTlIr structure. Source: Alexandria, functional GGA-PBE.

Values from the calculation:
DFT formation energy in eV/atom: -0.29
Crystal system: cubic
VASP energy in eV/cell: -85.1
ΔE to the lowest computed polymorph in meV per atom: 181.2

Unit cell a=7.623 b=7.623 c=7.623 alpha=90.00 beta=90.00 gamma=90.00
Space group F-43m (No. 216)
Symmetry-distinct sites (fractional):
Ac: 0.000 0.000 0.000 x4
Pm: 0.000 0.000 0.500 x4
Tl: 0.250 0.250 0.750 x4
Ir: 0.250 0.250 0.250 x4